Record 1
Below is a geometry-optimized Ac2ErGa4Pt3 structure, with properties calculated at the PBE-GGA level.

The structure in CIF format:
```
data_Ac2ErGa4Pt3
_chemical_formula_sum 'Ac2 Er1 Ga4 Pt3'
_cell_length_a 4.360
_cell_length_b 4.360
_cell_length_c 11.725
_cell_angle_alpha 90.00
_cell_angle_beta 90.00
_cell_angle_gamma 90.00
_space_group_name_H-M_alt 'P -4 m 2'
_space_group_IT_number 115
_space_group_name_Hall 'P -4 -2'
loop_
_atom_site_label
_atom_site_fract_x
_atom_site_fract_y
_atom_site_fract_z
Ac1 0.000 0.500 0.229
Er1 0.000 0.000 0.500
Ga1 0.000 0.000 0.000
Ga2 0.000 0.500 0.660
Ga3 0.500 0.500 0.000
Pt1 0.000 0.500 0.878
Pt2 0.500 0.500 0.500
```

Summary:
ρ, g/cm³: 11.07
Energy of formation, eV per atom: -0.88



Record 2
Below is a geometry-optimized AcErGa2Pt5 structure, with properties calculated at the PBE-GGA level.

The structure in CIF format:
```
data_AcErGa2Pt5
_chemical_formula_sum 'Ac1 Er1 Ga2 Pt5'
_cell_length_a 4.343
_cell_length_b 4.343
_cell_length_c 9.276
_cell_angle_alpha 90.00
_cell_angle_beta 90.00
_cell_angle_gamma 90.00
_space_group_name_H-M_alt 'P 4/m m m'
_space_group_IT_number 123
_space_group_name_Hall '-P 4 2'
loop_
_atom_site_label
_atom_site_fract_x
_atom_site_fract_y
_atom_site_fract_z
Ac1 0.000 0.000 0.000
Er1 0.000 0.000 0.500
Ga1 0.500 0.500 0.369
Pt1 0.000 0.500 0.241
Pt2 0.500 0.500 0.000
```

Summary:
ρ, g/cm³: 14.32
Energy of formation, eV per atom: -0.83



Record 3
Below is a geometry-optimized AcErGaRh structure, with properties calculated at the PBE-GGA level.

The structure in CIF format:
```
data_AcErGaRh
_chemical_formula_sum 'Ac4 Er4 Ga4 Rh4'
_cell_length_a 7.325
_cell_length_b 7.325
_cell_length_c 7.325
_cell_angle_alpha 90.00
_cell_angle_beta 90.00
_cell_angle_gamma 90.00
_space_group_name_H-M_alt 'F -4 3 m'
_space_group_IT_number 216
_space_group_name_Hall 'F -4 2 3'
loop_
_atom_site_label
_atom_site_fract_x
_atom_site_fract_y
_atom_site_fract_z
Ac1 0.000 0.000 0.000
Er1 0.000 0.000 0.500
Ga1 0.250 0.250 0.750
Rh1 0.250 0.250 0.250
```

Summary:
ρ, g/cm³: 9.58
Energy of formation, eV per atom: -0.49